Compound: Tl2Sn2Ir
Source: Alexandria via LeMat-Bulk
Functional: GGA-PBE
Structure: optimized geometry

Cell: 6.9455 6.9455 5.5611 Å, 90.00 90.00 90.00°
Sites, in units of the cell vectors:
Sn  0.8454  0.6546  0.0000
Tl  0.8208  0.3208  0.5000
Sn  0.3454  0.8454  0.0000
Tl  0.1792  0.6792  0.5000
Sn  0.1546  0.3454  0.0000
Tl  0.3208  0.1792  0.5000
Ir  0.5000  0.5000  0.0000
Ir  0.0000  0.0000  0.0000
Tl  0.6792  0.8208  0.5000
Sn  0.6546  0.1546  0.0000

Results
formation energy	0.126	eV per atom
density of states at the Fermi level	0.84	states/eV per atom
final energy	-41.94	eV for the cell shown